# 1
This record from Alexandria describes crystalline PmCuPbAu at its relaxed geometry. The functional is PBE.

Lattice parameters (Å, degrees): 5.020 5.020 5.020 60.00 60.00 60.00
Sites, in units of the cell vectors:
Au (0.750, 0.750, 0.750)
Cu (0.250, 0.250, 0.250)
Pb (0.500, 0.500, 0.500)
Pm (0.000, 0.000, 0.000)

- space group = No. 216
- size of the total moment (μB per atom) = 0.000
- energy of formation from the pure elements (eV per atom) = -0.381

=====

# 2
This record from Alexandria describes crystalline Cu2PbAuSe at its relaxed geometry. The functional is PBE.

Lattice parameters (Å, degrees): 4.804 5.568 4.804 90.00 90.00 90.00
Sites, in units of the cell vectors:
Cu (0.500, 0.000, 0.000)
Cu (0.000, 0.000, 0.500)
Pb (0.000, 0.500, 0.000)
Se (0.500, 0.500, 0.500)
Au (0.000, 0.000, 0.000)

- uncorrected formation energy (eV/atom) = 0.52
- space group = No. 123
- size of the total moment (μB per atom) = 0.000

=====

# 3
This record from Alexandria describes crystalline SmCuPbAu at its relaxed geometry. The functional is PBE.

Lattice parameters (Å, degrees): 5.005 5.005 5.005 60.00 60.00 60.00
Sites, in units of the cell vectors:
Cu (0.250, 0.250, 0.250)
Sm (0.500, 0.500, 0.500)
Au (0.750, 0.750, 0.750)
Pb (0.000, 0.000, 0.000)

- space group = No. 216
- size of the total moment (μB per atom) = 0.000
- energy of formation from the pure elements (eV per atom) = -0.378

=====

# 4
This record from Alexandria describes crystalline TaCu2PbAu at its relaxed geometry. The functional is PBE.

Lattice parameters (Å, degrees): 4.791 5.550 4.791 90.00 90.00 90.00
Sites, in units of the cell vectors:
Cu (0.500, 0.000, 0.000)
Cu (0.000, 0.000, 0.500)
Pb (0.000, 0.500, 0.000)
Ta (0.000, 0.000, 0.000)
Au (0.500, 0.500, 0.500)

- space group = No. 123
- size of the total moment (μB per atom) = 0.000
- energy of formation from the pure elements (eV per atom) = 1.308

=====

# 5
This record from Alexandria describes crystalline CuTePbAu2 at its relaxed geometry. The functional is PBE.

Lattice parameters (Å, degrees): 5.225 6.326 5.225 90.00 90.00 90.00
Sites, in units of the cell vectors:
Te (0.000, 0.500, 0.000)
Cu (0.500, 0.500, 0.500)
Pb (0.000, 0.000, 0.000)
Au (0.500, 0.000, 0.000)
Au (0.000, 0.000, 0.500)

- uncorrected formation energy (eV/atom) = 0.91
- space group = No. 123
- size of the total moment (μB per atom) = 0.000

=====

# 6
This record from Alexandria describes crystalline TmCuPbAu at its relaxed geometry. The functional is PBE.

Lattice parameters (Å, degrees): 4.916 4.916 4.916 60.00 60.00 60.00
Sites, in units of the cell vectors:
Pb (0.750, 0.750, 0.750)
Tm (0.250, 0.250, 0.250)
Au (0.000, 0.000, 0.000)
Cu (0.500, 0.500, 0.500)

- space group = No. 216
- size of the total moment (μB per atom) = 0.000
- energy of formation from the pure elements (eV per atom) = -0.337

=====

# 7
This record from Alexandria describes crystalline CuPbW2Au at its relaxed geometry. The functional is PBE.

Lattice parameters (Å, degrees): 4.647 4.820 4.647 90.00 90.00 90.00
Last column: magnetic moment on the atom in μB.
Sites, in units of the cell vectors:
Pb (0.000, 0.500, 0.000)  0.00
W (0.000, 0.000, 0.500)  0.80
W (0.500, 0.000, 0.000)  0.72
Au (0.500, 0.500, 0.500)  0.02
Cu (0.000, 0.000, 0.000)  0.09

- space group = No. 123
- size of the total moment (μB per atom) = 0.394
- energy of formation from the pure elements (eV per atom) = 1.817

=====

# 8
This record from Alexandria describes crystalline Zn2CuPbAu at its relaxed geometry. The functional is PBE.

Lattice parameters (Å, degrees): 4.639 4.959 4.639 90.00 90.00 90.00
Sites, in units of the cell vectors:
Zn (0.500, 0.000, 0.000)
Zn (0.000, 0.000, 0.500)
Pb (0.500, 0.500, 0.500)
Cu (0.000, 0.000, 0.000)
Au (0.000, 0.500, 0.000)

- space group = No. 123
- size of the total moment (μB per atom) = 0.000
- energy of formation from the pure elements (eV per atom) = 0.194

=====

# 9
This record from Alexandria describes crystalline Cu4Pd5Au2 at its relaxed geometry. The functional is PBE.

Lattice parameters (Å, degrees): 5.370 5.595 7.046 75.73 67.60 61.32
Sites, in units of the cell vectors:
Pd (0.241, 0.825, 0.185)
Pd (0.251, 0.175, 0.815)
Pd (0.749, 0.825, 0.185)
Pd (0.000, 0.500, 0.500)
Pd (0.759, 0.175, 0.815)
Cu (0.265, 0.983, 0.488)
Cu (0.273, 0.305, 0.148)
Cu (0.727, 0.695, 0.852)
Cu (0.735, 0.017, 0.512)
Au (0.261, 0.663, 0.814)
Au (0.739, 0.337, 0.186)

- space group = No. 12
- size of the total moment (μB per atom) = 0.000
- energy of formation from the pure elements (eV per atom) = 0.032

=====

# 10
This record from Alexandria describes crystalline Cu8Pd6Au at its relaxed geometry. The functional is PBE.

Lattice parameters (Å, degrees): 2.718 9.806 9.806 120.00 90.00 90.00
Sites, in units of the cell vectors:
Pd (0.731, 0.099, 0.467)
Pd (0.269, 0.901, 0.533)
Pd (0.731, 0.533, 0.632)
Pd (0.269, 0.632, 0.099)
Pd (0.269, 0.467, 0.368)
Pd (0.731, 0.368, 0.901)
Au (0.500, 0.000, 0.000)
Cu (0.201, 0.928, 0.210)
Cu (0.799, 0.210, 0.281)
Cu (0.229, 0.333, 0.667)
Cu (0.201, 0.790, 0.719)
Cu (0.799, 0.072, 0.790)
Cu (0.201, 0.281, 0.072)
Cu (0.771, 0.667, 0.333)
Cu (0.799, 0.719, 0.928)

- space group = No. 147
- size of the total moment (μB per atom) = 0.000
- energy of formation from the pure elements (eV per atom) = 0.153

=====

# 11
This record from Alexandria describes crystalline Cu2Pd2Au at its relaxed geometry. The functional is PBE.

Lattice parameters (Å, degrees): 7.295 7.295 2.854 90.00 90.00 90.00
Sites, in units of the cell vectors:
Pd (0.135, 0.365, 0.000)
Pd (0.635, 0.135, 0.000)
Pd (0.365, 0.865, 0.000)
Pd (0.865, 0.635, 0.000)
Cu (0.161, 0.661, 0.500)
Cu (0.661, 0.839, 0.500)
Cu (0.839, 0.339, 0.500)
Cu (0.339, 0.161, 0.500)
Au (0.500, 0.500, 0.000)
Au (0.000, 0.000, 0.000)

- space group = No. 127
- size of the total moment (μB per atom) = 0.000
- distance to the lowest polymorph of the same formula (eV/f.u.) = 0.591
- energy of formation from the pure elements (eV per atom) = 0.016

=====

# 12
This record from Alexandria describes crystalline Cu7PdAu3 at its relaxed geometry. The functional is PBE.

Lattice parameters (Å, degrees): 2.749 10.071 12.117 90.00 90.00 97.84
Sites, in units of the cell vectors:
Cu (0.407, 0.814, 0.397)
Cu (0.532, 0.064, 0.084)
Cu (0.532, 0.064, 0.416)
Cu (0.468, 0.936, 0.916)
Cu (0.593, 0.186, 0.603)
Cu (0.468, 0.936, 0.584)
Cu (0.721, 0.443, 0.579)
Cu (0.605, 0.210, 0.250)
Cu (0.721, 0.443, 0.921)
Cu (0.279, 0.557, 0.421)
Cu (0.407, 0.814, 0.103)
Cu (0.395, 0.790, 0.750)
Cu (0.279, 0.557, 0.079)
Cu (0.593, 0.186, 0.897)
Au (0.148, 0.296, 0.073)
Au (0.852, 0.704, 0.927)
Au (0.148, 0.296, 0.427)
Au (0.829, 0.657, 0.250)
Au (0.852, 0.704, 0.573)
Au (0.171, 0.343, 0.750)
Pd (0.981, 0.962, 0.250)
Pd (0.019, 0.038, 0.750)

- space group = No. 63
- size of the total moment (μB per atom) = 0.000
- distance to the lowest polymorph of the same formula (eV/f.u.) = 0.000
- energy of formation from the pure elements (eV per atom) = 0.057